1.
This record from the Alexandria database describes an optimized crystal structure of RbPrSBr. The functional is GGA-PBE.

Output
- ΔE_f (raw) (meV/atom) = -1566
- VASP energy (Ry/atom) = -0.327
- DOS(E_F) (states/eV/f.u.) = 2.57

Cell lengths 8.658, 8.658, 8.658 Å; angles 28.05, 28.05, 28.05 degrees
Atoms (fractional coordinates):
1 Rb 0.000 0.000 0.000
2 Pr 0.812 0.812 0.812
3 S 0.417 0.417 0.417
4 Br 0.226 0.226 0.226

=====

2.
This record from the Alexandria database describes an optimized crystal structure of Cs2SrAl2. The functional is GGA-PBE.

Output
- calculated formation energy (eV per atom) = 0.5534
- VASP energy (Ry/atom) = -0.119
- DOS(E_F) (states/eV/f.u.) = 5.79

Cell lengths 10.501, 10.501, 3.855 Å; angles 90.00, 90.00, 90.00 degrees
Atoms (fractional coordinates):
1 Cs 0.126 0.374 0.000
2 Cs 0.374 0.874 0.000
3 Cs 0.626 0.126 0.000
4 Cs 0.874 0.626 0.000
5 Sr 0.000 0.000 0.000
6 Sr 0.500 0.500 0.000
7 Al 0.177 0.677 0.500
8 Al 0.323 0.177 0.500
9 Al 0.677 0.823 0.500
10 Al 0.823 0.323 0.500

=====

3.
This record from the Alexandria database describes an optimized crystal structure of ZnTc2Mo. The functional is GGA-PBE.

Output
- calculated formation energy (eV per atom) = 0.1234
- VASP energy (Ry/atom) = -0.594
- DOS(E_F) (states/eV/f.u.) = 3.39

Cell lengths 2.685, 2.685, 8.833 Å; angles 90.00, 90.00, 109.77 degrees
Atoms (fractional coordinates):
1 Zn 0.000 0.000 0.000
2 Tc 0.500 0.500 0.252
3 Tc 0.500 0.500 0.748
4 Mo 0.000 0.000 0.500